Entry 1:
Computed, not measured: a relaxed structure of PrHoHf at the PBE level of DFT.

```
3
Lattice="0.000 3.701 3.701 3.701 0.000 3.701 3.701 3.701 0.000" Properties=species:S:1:pos:R:3 pbc="T T T"
Pr 5.551 5.551 5.551
Hf 0.000 0.000 0.000
Ho 1.850 1.850 1.850
```

## Properties
The calculation puts the offset from the most stable computed form at 0 meV per atom. The calculation puts the energy relative to the elements at 851 meV/atom. The value obtained for the volume is 33.8 Å³ per atom. The space group is F-43m (216).

Entry 2:
Computed, not measured: a relaxed structure of Hf2Ga2Ag at the PBE level of DFT.

```
5
Lattice="0.357 3.516 2.300 -2.226 2.116 -2.889 -4.116 -4.190 3.179" Properties=species:S:1:pos:R:3 pbc="T T T"
Hf -3.638 0.370 -0.002
Hf -2.347 1.070 2.592
Ga -1.923 2.546 0.270
Ga -4.061 -1.106 2.320
Ag 0.000 0.000 0.000
```

## Properties
The calculation puts the offset from the most stable computed form at 87 meV per atom. The value obtained for the volume is 21.2 Å³ per atom. The space group is I4/mmm (139).

Entry 3:
Computed, not measured: a relaxed structure of RbOsAuSe3 at the PBE level of DFT.

```
12
Lattice="7.952 -1.922 0.000 7.952 1.922 0.000 0.000 0.000 10.051" Properties=species:S:1:pos:R:3 pbc="T T T"
Se 14.251 0.000 4.927
Se 8.877 0.000 2.513
Se 14.251 0.000 0.099
Se 7.026 0.000 7.539
Se 1.652 0.000 9.952
Se 1.652 0.000 5.125
Au 14.737 0.000 2.513
Au 1.167 0.000 7.539
Rb 3.962 0.000 2.513
Rb 11.941 0.000 7.539
Os 7.952 0.000 5.026
Os 7.952 0.000 0.000
```

## Properties
The electronic total energy comes out at -53.19 eV for the cell shown. The value obtained for the volume is 25.6 Å³ per atom. The space group is Cmcm (63).

Entry 4:
Computed, not measured: a relaxed structure of CdCoIrPb at the PBE level of DFT.

```
4
Lattice="0.000 3.252 3.252 3.252 0.000 3.252 3.252 3.252 0.000" Properties=species:S:1:pos:R:3 pbc="T T T"
Ir 1.626 1.626 1.626
Pb 0.000 0.000 0.000
Cd 3.252 3.252 3.252
Co 4.878 4.878 4.878
```

## Properties
The calculation puts the offset from the most stable computed form at 0 meV per atom. The value obtained for the volume is 17.2 Å³ per atom. The space group is F-43m (216).

Entry 5:
Computed, not measured: a relaxed structure of LaMgZn2 at the PBE level of DFT.

```
4
Lattice="3.457 0.000 0.000 0.000 3.457 0.000 0.000 0.000 7.316" Properties=species:S:1:pos:R:3 pbc="T T T"
Zn 1.728 1.728 1.520
Zn 1.728 1.728 5.796
Mg 0.000 0.000 0.000
La 0.000 0.000 3.658
```

## Properties
The electronic total energy comes out at -9.82 eV for the cell shown. The value obtained for the volume is 21.9 Å³ per atom. The space group is P4/mmm (123).

Entry 6:
Computed, not measured: a relaxed structure of KPrHgTe3 at the PBE level of DFT.

```
12
Lattice="-0.487 -8.740 -2.915 3.536 -1.116 2.755 -6.723 0.724 8.923" Properties=species:S:1:pos:R:3 pbc="T T T"
Te -1.461 -0.426 3.640
Te -5.630 -1.856 8.412
Te -1.839 -4.177 6.478
Te -2.213 -8.706 5.123
Te 1.956 -7.275 0.350
Te -1.835 -4.954 2.284
Pr -0.186 -7.678 2.937
Pr -3.488 -1.454 5.825
K 1.041 -2.917 3.291
K -4.715 -6.214 5.471
Hg -3.474 -3.794 8.731
Hg -0.200 -5.338 0.031
```

## Properties
The electronic total energy comes out at -42.75 eV for the cell shown. The value obtained for the volume is 38.1 Å³ per atom. The space group is P2_1/m (11).

Entry 7:
Computed, not measured: a relaxed structure of KTcO3 at the PBE level of DFT.

```
10
Lattice="3.208 -1.852 -5.094 -3.208 -1.852 -5.094 0.000 3.704 -5.094" Properties=species:S:1:pos:R:3 pbc="T T T"
K 0.000 0.000 0.000
K 0.000 0.000 -7.641
O -2.339 0.348 -6.368
O 1.471 1.852 -6.368
O 2.339 -0.348 -8.915
O -1.471 -1.852 -8.915
O -0.869 2.200 -8.915
O 0.869 -2.200 -6.368
Tc 0.000 0.000 -3.821
Tc 0.000 0.000 -11.462
```

## Properties
The electronic total energy comes out at -65.90 eV for the cell shown. The value obtained for the volume is 18.2 Å³ per atom. The space group is R-3c (167).

Entry 8:
Computed, not measured: a relaxed structure of Co2SnPd at the PBE level of DFT.

```
4
Lattice="0.000 3.045 3.045 3.045 0.000 3.045 3.045 3.045 0.000" Properties=species:S:1:pos:R:3 pbc="T T T"
Co 0.000 0.000 0.000
Co 1.522 1.522 1.522
Pd 3.045 3.045 3.045
Sn 4.567 4.567 4.567
```

## Properties
The electronic total energy comes out at -23.26 eV for the cell shown. The value obtained for the volume is 14.1 Å³ per atom. The space group is F-43m (216).

Entry 9:
Computed, not measured: a relaxed structure of RbNdTm at the PBE level of DFT.

```
3
Lattice="-5.196 -0.599 2.937 -5.050 -1.121 -3.037 -2.612 -5.385 0.406" Properties=species:S:1:pos:R:3 pbc="T T T"
Tm 0.000 0.000 0.000
Nd -3.215 -1.776 0.076
Rb -9.644 -5.329 0.229
```

## Properties
The calculation puts the offset from the most stable computed form at 0 meV per atom. The value obtained for the volume is 50.9 Å³ per atom. The space group is F-43m (216).

Entry 10:
Computed, not measured: a relaxed structure of HoMg at the PBE level of DFT.

```
2
Lattice="0.000 3.532 3.532 3.532 0.000 3.532 3.532 3.532 0.000" Properties=species:S:1:pos:R:3 pbc="T T T"
Ho 0.000 0.000 0.000
Mg 1.766 1.766 1.766
```

## Properties
The electronic total energy comes out at -3.59 eV for the cell shown. The value obtained for the volume is 44.1 Å³ per atom. The space group is F-43m (216).

Entry 11:
Computed, not measured: a relaxed structure of BeTcSnSb at the PBE level of DFT.

```
4
Lattice="-1.508 1.067 4.258 -2.897 3.576 0.608 -4.429 -0.772 1.154" Properties=species:S:1:pos:R:3 pbc="T T T"
Sb -4.417 1.936 3.010
Be -6.626 2.903 4.515
Tc -2.209 0.968 1.505
Sn 0.000 0.000 0.000
```

## Properties
The calculation puts the offset from the most stable computed form at 0 meV per atom. The value obtained for the volume is 17.7 Å³ per atom. The space group is F-43m (216).

Entry 12:
Computed, not measured: a relaxed structure of SnBPdAu at the PBE level of DFT.

```
4
Lattice="-2.233 1.603 3.601 -0.290 4.469 0.680 -3.964 2.123 -0.553" Properties=species:S:1:pos:R:3 pbc="T T T"
Sn 0.000 0.000 0.000
Au -4.865 6.146 2.797
B -3.244 4.097 1.864
Pd -1.622 2.049 0.932
```

## Properties
The calculation puts the offset from the most stable computed form at 0 meV per atom. The value obtained for the volume is 16.4 Å³ per atom. The space group is F-43m (216).